# MnAg2PdF6, optimized geometry, DFT PBE+U
data_MnAg2PdF6
_chemical_formula_sum 'Mn1 Ag2 Pd1 F6'
_cell_length_a 6.210
_cell_length_b 4.983
_cell_length_c 6.129
_cell_angle_alpha 73.52
_cell_angle_beta 55.46
_cell_angle_gamma 74.44
_symmetry_space_group_name_H-M 'P 1'
_symmetry_Int_Tables_number 1
loop_
_symmetry_equiv_pos_as_xyz
'x,y,z'
loop_
_atom_site_label
_atom_site_type_symbol
_atom_site_fract_x
_atom_site_fract_y
_atom_site_fract_z
_atom_site_occupancy
Mn1 Mn 0.816 0.816 0.552 1
Ag1 Ag 0.543 0.587 0.254 1
Ag2 Ag 0.088 0.045 0.849 1
Pd1 Pd 0.316 0.316 0.052 1
F1 F 0.674 0.115 0.343 1
F2 F 0.179 0.000 0.367 1
F3 F 0.992 0.596 0.222 1
F4 F 0.454 0.632 0.736 1
F5 F 0.640 0.037 0.881 1
F6 F 0.959 0.518 0.759 1
# total magnetization	4.999	Bohr magnetons per cell
# space-group type	P-1, No. 2
# E	-45.0	eV for the cell shown